A relaxed MgHIr2Pd crystal. Source: Alexandria via LeMat-Bulk, functional PBE.

Properties
Calculated total energy ... -5.68 eV per atom
Energy above the lowest structure with this stoichiometry ... 0.010 eV/atom
Crystal system ... tetragonal

Unit cell a=3.940 b=3.940 c=4.064 alpha=90.00 beta=90.00 gamma=90.00
Fractional positions:
Mg: 0.000 0.000 0.000
H: 0.500 0.500 0.500
Ir: 0.000 0.500 0.500
Ir: 0.500 0.000 0.500
Pd: 0.500 0.500 0.000